Crystalline NaBe2Re at its relaxed geometry. Source: Alexandria, functional PBE-GGA.

## Properties
excess energy over the best structure of this formula in the dataset	223.9	meV/atom
crystal system	tetragonal
space-group type	I-42d (122)

POSCAR file:
```
NaBe2Re
1.0
-3.198 3.198 2.788
3.198 -3.198 2.788
3.198 3.198 -2.788
Na Be Re
2 4 2
direct
0.000 0.000 0.000
0.750 0.250 0.500
0.149 0.125 0.524
0.375 0.851 0.976
0.601 0.625 0.476
0.875 0.399 0.024
0.250 0.750 0.500
0.500 0.500 0.000
```

---

Crystalline NaBeRe3 at its relaxed geometry. Source: Alexandria, functional PBE-GGA.

## Properties
excess energy over the best structure of this formula in the dataset	0.0	meV/atom
crystal system	cubic
space-group type	Pm-3m (221)

POSCAR file:
```
NaBeRe3
1.0
4.235 0.000 0.000
0.000 4.235 0.000
0.000 0.000 4.235
Na Be Re
1 1 3
direct
0.000 0.000 0.000
0.500 0.500 0.500
0.000 0.500 0.500
0.500 0.000 0.500
0.500 0.500 0.000
```

---

Crystalline NaBe2Re at its relaxed geometry. Source: Alexandria, functional PBE-GGA.

## Properties
excess energy over the best structure of this formula in the dataset	0.0	meV/atom
crystal system	cubic
space-group type	Fm-3m (225)

POSCAR file:
```
NaBe2Re
1.0
0.000 2.954 2.954
2.954 0.000 2.954
2.954 2.954 0.000
Na Be Re
1 2 1
direct
0.000 0.000 0.000
0.250 0.250 0.250
0.750 0.750 0.750
0.500 0.500 0.500
```

---

Crystalline NaBeRe3 at its relaxed geometry. Source: Alexandria, functional PBE-GGA.

## Properties
excess energy over the best structure of this formula in the dataset	2098.9	meV/atom
crystal system	cubic
space-group type	Pm-3m (221)

POSCAR file:
```
NaBeRe3
1.0
4.446 0.000 0.000
0.000 4.446 0.000
0.000 0.000 4.446
Na Be Re
1 1 3
direct
0.000 0.000 0.000
0.500 0.500 0.500
0.000 0.000 0.500
0.000 0.500 0.000
0.500 0.000 0.000
```

---

Crystalline Na2BeRe at its relaxed geometry. Source: Alexandria, functional PBE-GGA.

## Properties
crystal system	tetragonal
space-group type	I-42d (122)

POSCAR file:
```
Na2BeRe
1.0
-4.194 4.194 2.340
4.194 -4.194 2.340
4.194 4.194 -2.340
Na Be Re
4 2 2
direct
0.056 0.125 0.431
0.375 0.944 0.069
0.694 0.625 0.569
0.875 0.306 0.931
0.000 0.000 0.000
0.750 0.250 0.500
0.250 0.750 0.500
0.500 0.500 0.000
```

---

Crystalline Na3BeRe at its relaxed geometry. Source: Alexandria, functional PBE-GGA.

## Properties
excess energy over the best structure of this formula in the dataset	219.9	meV/atom
crystal system	cubic
space-group type	Pm-3m (221)

POSCAR file:
```
Na3BeRe
1.0
5.778 0.000 0.000
0.000 5.778 0.000
0.000 0.000 5.778
Na Be Re
3 1 1
direct
0.000 0.000 0.500
0.000 0.500 0.000
0.500 0.000 0.000
0.500 0.500 0.500
0.000 0.000 0.000
```

---

Crystalline Na3BeRe at its relaxed geometry. Source: Alexandria, functional PBE-GGA.

## Properties
excess energy over the best structure of this formula in the dataset	0.0	meV/atom
crystal system	cubic
space-group type	Pm-3m (221)

POSCAR file:
```
Na3BeRe
1.0
5.206 0.000 0.000
0.000 5.206 0.000
0.000 0.000 5.206
Na Be Re
3 1 1
direct
0.000 0.000 0.500
0.000 0.500 0.000
0.500 0.000 0.000
0.000 0.000 0.000
0.500 0.500 0.500
```

---

Crystalline NaTiBe2Re at its relaxed geometry. Source: Alexandria, functional PBE-GGA.

## Properties
crystal system	tetragonal
space-group type	P4/mmm (123)

POSCAR file:
```
NaTiBe2Re
1.0
4.553 0.000 0.000
0.000 4.553 0.000
0.000 0.000 4.566
Na Ti Be Re
1 1 2 1
direct
0.000 0.000 0.000
0.500 0.500 0.000
0.000 0.500 0.500
0.500 0.000 0.500
0.500 0.500 0.500
```

---

Crystalline Na2TiBeRe at its relaxed geometry. Source: Alexandria, functional PBE-GGA.

## Properties
crystal system	tetragonal
space-group type	P4/mmm (123)

POSCAR file:
```
Na2TiBeRe
1.0
5.477 0.000 0.000
0.000 5.477 0.000
0.000 0.000 4.409
Na Ti Be Re
2 1 1 1
direct
0.000 0.500 0.000
0.500 0.000 0.000
0.000 0.000 0.000
0.500 0.500 0.500
0.000 0.000 0.500
```

---

Crystalline NaBe2ZnRe at its relaxed geometry. Source: Alexandria, functional PBE-GGA.

## Properties
crystal system	tetragonal
space-group type	P4/mmm (123)

POSCAR file:
```
NaBe2ZnRe
1.0
4.384 0.000 0.000
0.000 4.384 0.000
0.000 0.000 4.863
Na Be Zn Re
1 2 1 1
direct
0.000 0.000 0.000
0.000 0.500 0.500
0.500 0.000 0.500
0.500 0.500 0.000
0.500 0.500 0.500
```

---

Crystalline NaZrBe2Re at its relaxed geometry. Source: Alexandria, functional PBE-GGA.

## Properties
crystal system	tetragonal
space-group type	P4/mmm (123)

POSCAR file:
```
NaZrBe2Re
1.0
4.127 0.000 0.000
0.000 4.127 0.000
0.000 0.000 4.793
Na Zr Be Re
1 1 2 1
direct
0.000 0.000 0.000
0.500 0.500 0.500
0.000 0.500 0.000
0.500 0.000 0.000
0.000 0.000 0.500
```

---

Crystalline NaBe2Rh2 at its relaxed geometry. Source: Alexandria, functional PBE-GGA.

## Properties
excess energy over the best structure of this formula in the dataset	165.0	meV/atom
crystal system	tetragonal
space-group type	I4/mmm (139)

POSCAR file:
```
NaBe2Rh2
1.0
-2.022 2.022 4.586
2.022 -2.022 4.586
2.022 2.022 -4.586
Na Be Rh
1 2 2
direct
0.000 0.000 0.000
0.350 0.350 0.000
0.650 0.650 0.000
0.250 0.750 0.500
0.750 0.250 0.500
```

---

no.,energy of formation from the pure elements (eV per atom),mass density (g/cm3)
1,1.08,6.62
2,1.27,12.91
3,0.85,7.32
4,3.36,11.16
5,1.44,4.87
6,1.95,2.27
7,1.73,3.11
8,0.73,4.83
9,1.76,3.63
10,0.81,5.20
11,1.57,6.48
12,-0.05,5.46